1.
Below is a relaxed NaLiEuSb crystal, with properties calculated at the GGA-PBE level.

```
NaLiEuSb
1.0
-1.2623 -4.3978 2.8244
2.7004 -1.1725 4.4994
-2.4096 0.4764 4.7831
Li Na Eu Sb
1 1 1 1
Direct
0.7500 0.7500 0.7500
0.0000 0.0000 0.0000
0.5000 0.5000 0.5000
0.2500 0.2500 0.2500
```

Calculated values
The size of the total moment is 1.858 μB per atom. The value obtained for the formation energy from raw total energies is -43.6 kJ/mol of atoms.



2.
Below is a relaxed Ta2Hg2P crystal, with properties calculated at the GGA-PBE level.

```
Ta2Hg2P
1.0
8.5803 0.0000 0.0000
0.0000 8.5803 0.0000
0.0000 0.0000 2.8596
Ta Hg P
4 4 2
Direct
0.1113 0.6113 0.5000
0.8887 0.3887 0.5000
0.3887 0.1113 0.5000
0.6113 0.8887 0.5000
0.3166 0.8166 0.0000
0.1834 0.3166 0.0000
0.6834 0.1834 0.0000
0.8166 0.6834 0.0000
0.0000 0.0000 0.0000
0.5000 0.5000 0.0000
```

Calculated values
Its offset from the most stable computed form is 850 meV/atom. For the formation energy, the calculation gives 0.849 eV per atom. The size of the total moment is 0.000 μB per atom.



3.
Below is a relaxed CoReAs2 crystal, with properties calculated at the GGA-PBE level.

```
CoReAs2
1.0
5.4187 0.0000 0.0000
0.0000 5.4187 0.0000
2.7094 2.7094 5.3709
Re As Co
2 4 2
Direct
0.0000 0.0000 0.0000
0.7500 0.2500 0.5000
0.3750 0.3940 0.7500
0.8750 0.8560 0.7500
0.6060 0.1250 0.2500
0.1440 0.6250 0.2500
0.2500 0.7500 0.5000
0.5000 0.5000 0.0000
```

Calculated values
Its offset from the most stable computed form is 358 meV/atom. For the formation energy, the calculation gives 0.437 eV per atom. The size of the total moment is 0.000 μB per atom.



4.
Below is a relaxed FeH2Pt crystal, with properties calculated at the GGA-PBE level.

```
FeH2Pt
1.0
-1.0508 -3.8088 -1.1725
3.3062 -0.1562 -2.4557
3.3522 -3.5488 1.2804
H Fe Pt
4 2 2
Direct
0.1424 0.6250 0.2500
0.3750 0.3924 0.7500
0.6076 0.1250 0.2500
0.8750 0.8576 0.7500
0.2500 0.7500 0.5000
0.5000 0.5000 0.0000
0.7500 0.2500 0.5000
0.0000 0.0000 0.0000
```

Calculated values
Its offset from the most stable computed form is 45 meV/atom. The size of the total moment is 0.666 μB per atom.